Entry 1:
Here is crystalline TaCuSi at its relaxed geometry from the Alexandria database. Energies are from PBE.

Results
Energy relative to the elements, uncorrected in eV/atom: -0.0467
Size of the total moment in μB/f.u.: 0.0

a = 3.8254 Å, b = 4.6096 Å, c = 9.8933 Å
α = 90.00°, β = 90.00°, γ = 90.00°
Space group Fmm2 (No. 42)
Unique sites:
Ta  0.0000  0.0000  0.0000 [4 per cell]
Cu  0.0000  0.0000  0.3139 [4 per cell]
Si  0.0000  0.0000  0.6801 [4 per cell]

---

Entry 2:
Here is crystalline Pr3Ho3TmSe8 at its relaxed geometry from the Alexandria database. Energies are from PBE.

Results
Energy relative to the elements, uncorrected in eV/atom: -1.8424
Size of the total moment in μB/f.u.: 0.0

a = 8.2246 Å, b = 8.2246 Å, c = 20.5868 Å
α = 90.00°, β = 90.00°, γ = 120.00°
Space group R-3m (No. 166, hexagonal axes)
Unique sites:
Pr  0.0000  0.5000  0.0000 [9 per cell]
Ho  0.0000  0.5000  0.5000 [9 per cell]
Tm  0.0000  0.0000  0.5000 [3 per cell]
Se  0.0000  0.0000  0.2440 [6 per cell]
Se  0.0033  0.5016  0.7552 [18 per cell]

---

Entry 3:
Here is crystalline TiMnZnRu at its relaxed geometry from the Alexandria database. Energies are from PBE.

Results
E_form in meV/atom: -252
Size of the total moment in μB/f.u.: 2.9

a = 6.0882 Å, b = 6.0882 Å, c = 6.0882 Å
α = 90.00°, β = 90.00°, γ = 90.00°
Space group F-43m (No. 216)
Unique sites:
Ti  0.0000  0.0000  0.0000 [4 per cell]
Mn  0.2500  0.2500  0.7500 [4 per cell]
Zn  0.0000  0.0000  0.5000 [4 per cell]
Ru  0.2500  0.2500  0.2500 [4 per cell]

---

Entry 4:
Here is crystalline CaCd2CuNi at its relaxed geometry from the Alexandria database. Energies are from PBE.

Results
E_form in meV/atom: 466
Size of the total moment in μB/f.u.: 0.4

a = 4.8906 Å, b = 4.8906 Å, c = 5.2136 Å
α = 90.00°, β = 90.00°, γ = 90.00°
Space group P4/mmm (No. 123)
Unique sites:
Ca  0.0000  0.0000  0.0000 [1 per cell]
Cd  0.0000  0.5000  0.5000 [2 per cell]
Cu  0.0000  0.0000  0.5000 [1 per cell]
Ni  0.5000  0.5000  0.0000 [1 per cell]

---

Entry 5:
Here is crystalline CrInCo2 at its relaxed geometry from the Alexandria database. Energies are from PBE.

Results
E_form in meV/atom: 576
Size of the total moment in μB/f.u.: 1.0

a = 6.6097 Å, b = 6.6097 Å, c = 5.3472 Å
α = 90.00°, β = 90.00°, γ = 90.00°
Space group I-42d (No. 122)
Unique sites:
Cr  0.0000  0.0000  0.0000 [4 per cell]
In  0.0000  0.0000  0.5000 [4 per cell]
Co  0.1892  0.2500  0.1250 [8 per cell]

---

Entry 6:
Here is crystalline SrCr2Tc2 at its relaxed geometry from the Alexandria database. Energies are from PBE.

Results
Energy above the most stable polymorph in this dataset in meV per atom: 153
E_form in meV/atom: 578
Size of the total moment in μB/f.u.: 0.0

a = 7.6904 Å, b = 7.6904 Å, c = 2.8000 Å
α = 90.00°, β = 90.00°, γ = 90.00°
Space group P4/mbm (No. 127)
Unique sites:
Sr  0.0000  0.0000  0.0000 [2 per cell]
Cr  0.1362  0.3638  0.5000 [4 per cell]
Tc  0.1420  0.6420  0.0000 [4 per cell]